K2CaCo | Alexandria via LeMat-Bulk | GGA-PBE | relaxed; crystal system = monoclinic; energy relative to the lowest polymorph listed for this composition = 0.000 eV per atom; density = 1.8 g/cm³; density of states at the Fermi level = 6.7 states/eV/cell; space group = No. 6
1.0
3.8466 0.0000 0.0000
0.0000 3.8359 0.2578
0.0000 2.9740 11.1248
Ca Co K
1 1 2
direct
0.0000 0.4051 0.5938
0.5000 0.8056 0.6965
0.0000 0.0897 0.9185
0.5000 0.1995 0.2913


K2CaCo | Alexandria via LeMat-Bulk | GGA-PBE | relaxed; crystal system = cubic; energy relative to the lowest polymorph listed for this composition = 0.430 eV per atom; density = 1.9 g/cm³; density of states at the Fermi level = 8.7 states/eV/cell; space group = No. 225
1.0
2.0324 -5.3075 2.0145
-0.8237 -1.5512 5.7683
-3.8955 -4.3787 1.4178
Ca Co K
1 1 2
direct
0.0000 0.0000 0.0000
0.5000 0.5000 0.5000
0.2500 0.2500 0.2500
0.7500 0.7500 0.7500


K4CaCo | Alexandria via LeMat-Bulk | GGA-PBE | relaxed; E = -1.44 eV per atom; crystal system = cubic; density = 1.4 g/cm³; density of states at the Fermi level = 9.6 states/eV/cell; space group = No. 216
1.0
0.0000 5.3726 5.3726
5.3726 0.0000 5.3726
5.3726 5.3726 0.0000
K Ca Co
4 1 1
direct
0.3742 0.8775 0.3742
0.8775 0.3742 0.3742
0.3742 0.3742 0.8775
0.3742 0.3742 0.3742
0.7500 0.7500 0.7500
0.0000 0.0000 0.0000


KCaLa2Co | Alexandria via LeMat-Bulk | GGA-PBE | relaxed; E = -3.92 eV per atom; crystal system = tetragonal; density = 3.8 g/cm³; density of states at the Fermi level = 5.5 states/eV/cell; space group = No. 123
1.0
-2.0165 -3.4128 -3.7519
0.1848 -4.0843 3.6159
-5.6372 1.3445 1.8068
Ca Co K La
1 1 1 2
direct
0.0000 0.0000 0.5000
0.0000 0.0000 0.0000
0.5000 0.5000 0.5000
0.0000 0.5000 0.0000
0.5000 0.0000 0.0000


KCa2LaCo | Alexandria via LeMat-Bulk | GGA-PBE | relaxed; E = -3.33 eV per atom; crystal system = tetragonal; density = 2.9 g/cm³; density of states at the Fermi level = 3.7 states/eV/cell; space group = No. 123
1.0
-2.0565 4.5643 -3.1472
-5.2234 -0.4700 2.7316
1.6338 3.2793 3.6883
Ca Co K La
2 1 1 1
direct
0.0000 0.5000 0.0000
0.5000 0.0000 0.0000
0.0000 0.0000 0.0000
0.5000 0.5000 0.5000
0.0000 0.0000 0.5000